Computed, not measured: a relaxed Cs2ZrI6 crystal at the PBE-GGA level of DFT.

Summary:
As for the space group: Fm-3m, No. 225. For the formation energy without anion corrections, the calculation gives -120.6 kJ per mole of atoms.

a = 8.4790 Å, b = 8.4790 Å, c = 8.4790 Å
α = 60.00°, β = 60.00°, γ = 60.00°
Closest atoms and distances in Å follow each position.
Positions (direct):
Cs (0.2500, 0.2500, 0.2500)  12 I 4.24
Cs (0.7500, 0.7500, 0.7500)  12 I 4.24
I (0.2409, 0.7591, 0.7591)  1 Zr 2.89
I (0.7591, 0.2409, 0.7591)  1 Zr 2.89
I (0.2409, 0.7591, 0.2409)  1 Zr 2.89
I (0.7591, 0.2409, 0.2409)  1 Zr 2.89
I (0.2409, 0.2409, 0.7591)  1 Zr 2.89
I (0.7591, 0.7591, 0.2409)  1 Zr 2.89
Zr (0.0000, 0.0000, 0.0000)  6 I 2.89

***

Computed, not measured: a relaxed ScTl2Pt crystal at the PBE-GGA level of DFT.

Summary:
As for the formation energy: -282.2 meV/atom. As for the space group: Imm2, No. 44.

a = 5.9032 Å, b = 5.9032 Å, c = 5.9032 Å
α = 143.58°, β = 131.13°, γ = 62.45°
Closest atoms and distances in Å follow each position.
Positions (direct):
Pt (0.4754, 0.4754, 0.0000)  2 Sc 2.64
Sc (0.2881, 0.7881, 0.5000)  2 Pt 2.64
Tl (0.0082, 0.0082, 0.0000)  4 Pt 3.08, 4 Sc 3.30-3.38, 4 Tl 3.30-3.37
Tl (0.7283, 0.2283, 0.5000)  4 Sc 3.12, 4 Pt 3.15-3.49, 4 Tl 3.30-3.37

***

Computed, not measured: a relaxed Ta2AsAu crystal at the PBE-GGA level of DFT.

Summary:
As for the formation energy: -87.6 meV/atom. As for the space group: P4/mmm, No. 123.

a = 3.1397 Å, b = 3.1397 Å, c = 6.9936 Å
α = 90.00°, β = 90.00°, γ = 90.01°
Closest atoms and distances in Å follow each position.
Positions (direct):
As (0.5000, 0.5000, 0.2500)  8 Ta 2.70
Au (0.5000, 0.5000, 0.7500)  8 Ta 2.96, 4 Au 3.14
Ta (0.0000, 0.0000, 0.0292)  4 As 2.70, 4 Au 2.96
Ta (0.0000, 0.0000, 0.4708)  4 As 2.70, 4 Au 2.96

***

Computed, not measured: a relaxed Tc3P4 crystal at the PBE-GGA level of DFT.

Summary:
As for the formation energy: -172.3 meV/atom. As for the space group: I4/mmm, No. 139.

a = 9.8012 Å, b = 9.8012 Å, c = 9.8012 Å
α = 161.44°, β = 161.44°, γ = 26.36°
Closest atoms and distances in Å follow each position.
Positions (direct):
Tc (0.0000, 0.0000, 0.0000)  10 P 2.58-2.84
Tc (0.6952, 0.6952, 0.0000)  5 P 2.40-2.43
Tc (0.3048, 0.3048, 0.0000)  5 P 2.40-2.43
P (0.8511, 0.8511, 0.0000)  4 Tc 2.40
P (0.1489, 0.1489, 0.0000)  4 Tc 2.40
P (0.5680, 0.5680, 0.0000)  5 Tc 2.43-2.58, 5 P 2.60-2.72
P (0.4320, 0.4320, 0.0000)  5 Tc 2.43-2.58, 5 P 2.60-2.72

***

Computed, not measured: a relaxed KAs2Au crystal at the PBE-GGA level of DFT.

Summary:
As for the formation energy: -159.2 meV/atom. As for the space group: C2/m, No. 12.

a = 5.5983 Å, b = 5.5983 Å, c = 6.1054 Å
α = 69.03°, β = 69.03°, γ = 38.05°
Closest atoms and distances in Å follow each position.
Positions (direct):
As (0.0467, 0.0467, 0.8501)  2 As 2.59, 2 Au 2.71
As (0.4533, 0.4533, 0.6499)  2 As 2.59, 2 Au 2.71
Au (0.7500, 0.7500, 0.7500)  4 As 2.71
K (0.2500, 0.2500, 0.2500)  8 As 3.48-3.82, 4 Au 3.56, 2 K 3.65

***

Computed, not measured: a relaxed TaAuBr crystal at the PBE-GGA level of DFT.

Summary:
As for the space group: F-43m, No. 216. For the formation energy without anion corrections, the calculation gives 109.3 kJ per mole of atoms.

a = 4.4651 Å, b = 4.4651 Å, c = 4.4651 Å
α = 60.00°, β = 60.00°, γ = 60.00°
Closest atoms and distances in Å follow each position.
Positions (direct):
Au (0.5000, 0.5000, 0.5000)  4 Br 2.73
Br (0.7500, 0.7500, 0.7500)  4 Ta 2.73, 4 Au 2.73
Ta (0.0000, 0.0000, 0.0000)  4 Br 2.73